No. 1
First-principles (PBE) data for a geometry-optimized KMnCr2 structure, as listed in Alexandria via LeMat-Bulk.

Structure (POSCAR):
```
KMnCr2
1.0
-5.351 0.157 2.791
0.382 -0.724 5.981
1.097 3.229 -4.982
Cr K Mn
2 1 1
direct
0.061 0.061 0.000
0.439 0.439 0.000
0.750 0.250 0.500
0.250 0.750 0.500
```

Space-group type: No. 71
Excess energy over the best structure of this formula in the dataset, meV/atom: 373.7
Formation energy, eV per atom: 1.1395


No. 2
First-principles (PBE) data for a geometry-optimized TbPaBeN3 structure, as listed in Alexandria via LeMat-Bulk.

Structure (POSCAR):
```
TbPaBeN3
1.0
3.317 0.000 0.000
0.000 7.076 0.889
0.000 -1.759 6.588
Tb Pa Be N
2 2 2 6
direct
0.750 0.840 0.801
0.250 0.160 0.199
0.250 0.652 0.196
0.750 0.348 0.804
0.250 0.074 0.593
0.750 0.926 0.407
0.250 0.842 0.498
0.750 0.883 0.154
0.750 0.406 0.136
0.750 0.158 0.502
0.250 0.594 0.864
0.250 0.117 0.846
```

Space-group type: No. 11
DFT total energy, eV/atom: -8.534


No. 3
First-principles (PBE) data for a geometry-optimized PmSmAsSe structure, as listed in Alexandria via LeMat-Bulk.

Structure (POSCAR):
```
PmSmAsSe
1.0
-0.468 -3.481 -2.307
2.111 -3.490 1.011
-4.682 -4.311 3.626
Pm Sm As Se
1 1 1 1
direct
0.940 0.940 0.179
0.448 0.448 0.656
0.194 0.194 0.419
0.695 0.695 0.916
```

Space-group type: No. 160
DFT total energy, eV/atom: -6.138


No. 4
First-principles (PBE) data for a geometry-optimized LiErTl2Cl6 structure, as listed in Alexandria via LeMat-Bulk.

Structure (POSCAR):
```
LiErTl2Cl6
1.0
7.258 0.000 -0.012
0.000 7.383 0.000
0.048 0.000 10.292
Li Er Tl Cl
2 2 4 12
direct
0.500 0.000 0.000
0.000 0.500 0.500
0.500 0.000 0.500
0.000 0.500 0.000
0.010 0.951 0.252
0.510 0.549 0.752
0.990 0.049 0.748
0.490 0.451 0.248
0.287 0.712 0.032
0.787 0.788 0.532
0.713 0.288 0.968
0.213 0.212 0.468
0.289 0.715 0.468
0.789 0.785 0.968
0.711 0.285 0.532
0.211 0.215 0.032
0.937 0.510 0.251
0.437 0.990 0.751
0.063 0.490 0.749
0.563 0.010 0.249
```

Space-group type: No. 14
DFT total energy, eV/atom: -3.932


No. 5
First-principles (PBE) data for a geometry-optimized Ta3NbPt structure, as listed in Alexandria via LeMat-Bulk.

Structure (POSCAR):
```
Ta3NbPt
1.0
4.781 0.000 0.000
0.000 4.781 0.000
0.000 0.000 4.781
Nb Pt Ta
1 1 3
direct
0.000 0.000 0.000
0.500 0.500 0.500
0.000 0.500 0.000
0.000 0.000 0.500
0.500 0.000 0.000
```

Space-group type: No. 221
Excess energy over the best structure of this formula in the dataset, meV/atom: 1950.6
Formation energy, eV per atom: 1.6525


No. 6
First-principles (PBE) data for a geometry-optimized KNaZr2 structure, as listed in Alexandria via LeMat-Bulk.

Structure (POSCAR):
```
KNaZr2
1.0
-3.664 -4.980 -6.721
7.851 0.486 -4.640
2.984 -4.603 -4.421
Na K Zr
2 2 4
direct
0.500 0.500 0.000
0.250 0.750 0.500
0.000 0.000 0.000
0.750 0.250 0.500
0.620 0.125 0.250
0.130 0.625 0.250
0.375 0.380 0.750
0.875 0.870 0.750
```

Space-group type: No. 122
Excess energy over the best structure of this formula in the dataset, meV/atom: 0.0
Formation energy, eV per atom: 1.1907


No. 7
First-principles (PBE) data for a geometry-optimized PrHgPd structure, as listed in Alexandria via LeMat-Bulk.

Structure (POSCAR):
```
PrHgPd
1.0
3.963 0.000 0.000
0.000 7.915 0.000
0.000 0.000 13.669
Pr Hg Pd
6 6 6
direct
0.000 0.242 0.950
0.000 0.758 0.050
0.000 0.242 0.550
0.000 0.758 0.450
0.000 0.162 0.250
0.000 0.838 0.750
0.500 0.428 0.113
0.500 0.572 0.887
0.500 0.428 0.387
0.500 0.572 0.613
0.500 0.814 0.250
0.500 0.186 0.750
0.500 0.061 0.094
0.500 0.939 0.906
0.500 0.061 0.406
0.500 0.939 0.594
0.000 0.553 0.250
0.000 0.447 0.750
```

Space-group type: No. 51
Excess energy over the best structure of this formula in the dataset, meV/atom: 20.3
Formation energy, eV per atom: -0.6632


No. 8
First-principles (PBE) data for a geometry-optimized TcHg3Pd12 structure, as listed in Alexandria via LeMat-Bulk.

Structure (POSCAR):
```
TcHg3Pd12
1.0
3.991 0.000 0.000
0.000 3.991 0.000
0.000 0.000 16.350
Tc Hg Pd
1 3 12
direct
0.000 0.000 0.000
0.000 0.000 0.246
0.000 0.000 0.500
0.000 0.000 0.754
0.500 0.500 0.000
0.500 0.500 0.243
0.500 0.500 0.500
0.500 0.500 0.757
0.500 0.000 0.115
0.500 0.000 0.372
0.500 0.000 0.628
0.500 0.000 0.885
0.000 0.500 0.115
0.000 0.500 0.372
0.000 0.500 0.628
0.000 0.500 0.885
```

Space-group type: No. 123
Formation energy, eV per atom: -0.0615


Repeat the third record exactly.
First-principles (PBE) data for a geometry-optimized PmSmAsSe structure, as listed in Alexandria via LeMat-Bulk.

Structure (POSCAR):
```
PmSmAsSe
1.0
-0.468 -3.481 -2.307
2.111 -3.490 1.011
-4.682 -4.311 3.626
Pm Sm As Se
1 1 1 1
direct
0.940 0.940 0.179
0.448 0.448 0.656
0.194 0.194 0.419
0.695 0.695 0.916
```

Space-group type: No. 160
DFT total energy, eV/atom: -6.138